Below is a relaxed CsSi2Pt2 crystal, with properties calculated at the GGA-PBE level.

For the density of states at the Fermi level, the calculation gives 4.60 states/eV per cell. The value obtained for the polymorph energy (0 for the lowest one) is 0 meV per atom.

The structure belongs to space group I4/mmm (No. 139); the cell edges are 4.166, 4.166 and 14.704 Å and the angles 90.00°, 90.00° and 90.00°. The distinct sites, in fractional coordinates, are Cs at (0.000, 0.000, 0.000), Si at (0.000, 0.000, 0.336) and Pt at (0.000, 0.500, 0.250).

***

Below is a relaxed CsSi3Pt4 crystal, with properties calculated at the GGA-PBE level.

For the density of states at the Fermi level, the calculation gives 1.82 states/eV per cell. As for the total energy: -45.764 eV per cell.

The structure belongs to space group P4/mmm (No. 123); the cell edges are 3.965, 3.965 and 10.801 Å and the angles 90.00°, 90.00° and 90.00°. The distinct sites, in fractional coordinates, are Cs at (0.000, 0.000, 0.000), Si at (0.000, 0.000, 0.500), Si at (0.500, 0.500, 0.226) and Pt at (0.000, 0.500, 0.357).